DFT (PBE) results for NaAcN after structural relaxation.

- Offset from the most stable computed form: 0.352 eV per formula unit
- Size of the total moment: 0.0 μB/f.u.

Structure (CIF):
```
data_NaAcN
_chemical_formula_sum 'Na4 Ac4 N4'
_space_group_name_H-M_alt 'P n m a'
_space_group_IT_number 62
_cell_length_a 7.736
_cell_length_b 3.998
_cell_length_c 13.659
_cell_angle_alpha 90.00
_cell_angle_beta 90.00
_cell_angle_gamma 90.00
loop_
_space_group_symop_operation_xyz
'x,y,z'
'-x,-y,-z'
'-x+1/2,-y,z+1/2'
'x+1/2,y,-z+1/2'
'x+1/2,-y+1/2,-z+1/2'
'-x+1/2,y+1/2,z+1/2'
'-x,y+1/2,-z'
'x,-y+1/2,z'
loop_
_atom_site_label
_atom_site_fract_x
_atom_site_fract_y
_atom_site_fract_z
Na1 0.000 0.250 0.246
Ac1 0.197 0.250 0.981
N1 0.061 0.750 0.920
```